# 1
10
Lattice="8.2272 0.0000 0.0000 0.0000 8.2272 0.0000 0.0000 0.0000 2.7800" Properties=species:S:1:pos:R:3 comment="Al2CdAg2 (PBE, optimized geometry)" ef_mev_per_atom=37 polymorph_energy_ev_per_fu=0.36 spacegroup="P4/mbm, No. 127" pbc="T T T"
Al 1.0166 3.0970 0.0000
Al 3.0970 7.2106 0.0000
Al 5.1301 1.0166 0.0000
Al 7.2106 5.1301 0.0000
Cd 0.0000 0.0000 0.0000
Cd 4.1136 4.1136 0.0000
Ag 1.4276 5.5411 1.3900
Ag 2.6860 1.4276 1.3900
Ag 5.5411 6.7996 1.3900
Ag 6.7996 2.6860 1.3900

# 2
4
Lattice="3.9395 0.0000 0.0000 0.0000 3.9395 0.0000 0.0000 0.0000 6.9710" Properties=species:S:1:pos:R:3 comment="NaZnBi2 (PBE, optimized geometry)" ef_mev_per_atom=-23 spacegroup="P4/mmm, No. 123" pbc="T T T"
Na 0.0000 0.0000 0.0000
Zn 0.0000 0.0000 3.4855
Bi 1.9698 1.9698 1.9542
Bi 1.9698 1.9698 5.0168

# 3
5
Lattice="3.4312 0.0000 0.0000 0.0000 3.4312 0.0000 0.0000 0.0000 7.2358" Properties=species:S:1:pos:R:3 comment="BSeBrN2 (PBE, optimized geometry)" polymorph_energy_ev_per_fu=0.00 spacegroup="P4/mmm, No. 123" formation_energy_uncorrected_kj_per_mol_atoms=152.6 pbc="T T T"
B 0.0000 0.0000 0.0000
Se 0.0000 0.0000 3.6179
Br 1.7156 1.7156 3.6179
N 0.0000 1.7156 0.0000
N 1.7156 0.0000 0.0000

# 4
12
Lattice="9.7879 -2.8218 0.0000 9.7879 2.8218 0.0000 -0.0662 0.0000 7.1487" Properties=species:S:1:pos:R:3 comment="LaSmYEr3 (PBE, optimized geometry)" ef_mev_per_atom=206 spacegroup="C2/m, No. 12" pbc="T T T"
La 2.8263 0.0000 0.2323
La 16.6834 0.0000 6.9165
Sm 8.7411 0.0000 5.2288
Sm 10.7687 0.0000 1.9199
Y 2.9308 0.0000 3.2579
Y 16.5789 0.0000 3.8908
Er 0.4188 0.0000 5.2411
Er 5.4163 0.0000 5.4393
Er 6.5611 0.0000 1.9353
Er 12.9487 0.0000 5.2135
Er 14.0934 0.0000 1.7094
Er 19.0909 0.0000 1.9076

| no. | electronic total energy (eV/atom) |
| --- | --- |
| 1 | -2.78 |
| 2 | -2.61 |
| 3 | -4.12 |
| 4 | -4.76 |